This record from the Alexandria database describes crystalline LiPa2TcN5 at its relaxed geometry. The functional is PBE-GGA.

a = 6.7118 Å, b = 6.7118 Å, c = 9.4240 Å
α = 90.00°, β = 90.00°, γ = 150.82°
Fractional coordinates of all 18 atoms:
Li  0.0273  0.9727  0.5000
Li  0.9727  0.0273  0.0000
Pa  0.3641  0.6359  0.3347
Pa  0.3867  0.6133  0.7203
Pa  0.6133  0.3867  0.2203
Pa  0.6359  0.3641  0.8347
Tc  0.3067  0.6933  0.0372
Tc  0.6933  0.3067  0.5372
N  0.0016  0.9984  0.7948
N  0.1407  0.8593  0.0291
N  0.1915  0.8085  0.4011
N  0.2113  0.7887  0.6903
N  0.4472  0.5528  0.0864
N  0.5528  0.4472  0.5864
N  0.7887  0.2113  0.1903
N  0.8085  0.1915  0.9011
N  0.8593  0.1407  0.5291
N  0.9984  0.0016  0.2948

Computed properties:
As for the total energy: -9.06 eV per atom. The value obtained for the volume is 207.0 Å³ per cell. Its space group is Cmc2_1. The calculation puts the uncorrected formation energy at -0.961 eV per atom.